First-principles (GGA-PBE) data for crystalline La12Nd5Tl2 at its relaxed geometry, as listed in Alexandria via LeMat-Bulk.

Lattice parameters (Å, degrees): 9.2559 9.2559 8.8982 93.49 93.49 61.99
Sites, in units of the cell vectors:
La  0.0569  0.0569  0.3223
La  0.0695  0.6794  0.3314
La  0.1666  0.5378  0.7605
La  0.3206  0.9305  0.6686
La  0.4203  0.4203  0.1111
La  0.4622  0.8334  0.2395
La  0.5378  0.1666  0.7605
La  0.5797  0.5797  0.8889
La  0.6794  0.0695  0.3314
La  0.8334  0.4622  0.2395
La  0.9305  0.3206  0.6686
La  0.9431  0.9431  0.6777
Nd  0.1890  0.1890  0.0133
Nd  0.2668  0.2668  0.4166
Nd  0.5000  0.5000  0.5000
Nd  0.7332  0.7332  0.5834
Nd  0.8110  0.8110  0.9867
Tl  0.1791  0.8209  0.0000
Tl  0.8209  0.1791  0.0000

Calculated values
Symmetry   C2/m
Formation energy   -0.022 eV per atom
Fermi-level density of states   1.378 states/eV per atom
Mass density   6.918 g cm⁻³

=====

First-principles (GGA-PBE) data for crystalline La4NdTl3 at its relaxed geometry, as listed in Alexandria via LeMat-Bulk.

Lattice parameters (Å, degrees): 10.0686 10.0686 10.0686 32.56 32.56 32.56
Sites, in units of the cell vectors:
La  0.1134  0.1134  0.1134
La  0.3657  0.3657  0.3657
La  0.6343  0.6343  0.6343
La  0.8866  0.8866  0.8866
Nd  0.5000  0.5000  0.5000
Tl  0.0000  0.0000  0.0000
Tl  0.2360  0.2360  0.2360
Tl  0.7640  0.7640  0.7640

Calculated values
Symmetry   R-3m
Formation energy   -0.273 eV per atom
Fermi-level density of states   1.569 states/eV per atom
Mass density   8.292 g cm⁻³

=====

First-principles (GGA-PBE) data for crystalline LaNdTl at its relaxed geometry, as listed in Alexandria via LeMat-Bulk.

Lattice parameters (Å, degrees): 5.3654 5.3654 3.8685 90.00 90.00 120.00
Sites, in units of the cell vectors:
La  0.0000  0.0000  0.0000
Nd  0.6667  0.3333  0.4092
Tl  0.3333  0.6667  0.6462

Calculated values
Symmetry   P3m1
Formation energy   -0.194 eV per atom
Fermi-level density of states   0.789 states/eV per atom
Mass density   8.394 g cm⁻³

=====

First-principles (GGA-PBE) data for crystalline La2Nd6Tl at its relaxed geometry, as listed in Alexandria via LeMat-Bulk.

Lattice parameters (Å, degrees): 11.5781 11.5781 6.0739 98.56 98.56 50.91
Sites, in units of the cell vectors:
La  0.1681  0.3290  0.4747
La  0.3290  0.1681  0.9747
La  0.6710  0.8319  0.0253
La  0.8319  0.6710  0.5253
Nd  0.0058  0.8493  0.5683
Nd  0.0877  0.5898  0.0527
Nd  0.1507  0.9942  0.9317
Nd  0.3452  0.4986  0.6231
Nd  0.4102  0.9123  0.4473
Nd  0.4986  0.3452  0.1231
Nd  0.5014  0.6548  0.8769
Nd  0.5898  0.0877  0.5527
Nd  0.6548  0.5014  0.3769
Nd  0.8493  0.0058  0.0683
Nd  0.9123  0.4102  0.9473
Nd  0.9942  0.1507  0.4317
Tl  0.2714  0.7286  0.2500
Tl  0.7286  0.2714  0.7500

Calculated values
Symmetry   C2/c
Formation energy   0.012 eV per atom
Fermi-level density of states   1.541 states/eV per atom
Mass density   7.180 g cm⁻³

=====

First-principles (GGA-PBE) data for crystalline La4Nd5Tl4 at its relaxed geometry, as listed in Alexandria via LeMat-Bulk.

Lattice parameters (Å, degrees): 9.3687 9.3687 9.3687 94.63 94.63 147.00
Sites, in units of the cell vectors:
La  0.0946  0.3804  0.4750
La  0.3804  0.9054  0.2858
La  0.6196  0.0946  0.7142
La  0.9054  0.6196  0.5250
Nd  0.0000  0.0000  0.0000
Nd  0.3110  0.5978  0.9088
Nd  0.4022  0.3110  0.7133
Nd  0.5978  0.6890  0.2867
Nd  0.6890  0.4022  0.0912
Tl  0.1130  0.7718  0.8849
Tl  0.2282  0.1130  0.3412
Tl  0.7718  0.8870  0.6588
Tl  0.8870  0.2282  0.1151

Calculated values
Symmetry   I4/m
Formation energy   -0.255 eV per atom
Fermi-level density of states   1.371 states/eV per atom
Mass density   8.099 g cm⁻³

=====

First-principles (GGA-PBE) data for crystalline La5Nd4Tl at its relaxed geometry, as listed in Alexandria via LeMat-Bulk.

Lattice parameters (Å, degrees): 8.1749 8.1749 8.1749 98.55 98.55 134.63
Sites, in units of the cell vectors:
La  0.0000  0.0000  0.0000
La  0.5464  0.5476  0.6208
La  0.5476  0.9268  0.0012
La  0.9256  0.5464  0.9988
La  0.9268  0.9256  0.3792
Nd  0.2288  0.5442  0.3141
Nd  0.2300  0.9146  0.6859
Nd  0.5442  0.2300  0.3154
Nd  0.9146  0.2288  0.6846
Tl  0.4809  0.4809  0.0000

Calculated values
Symmetry   I4
Formation energy   0.097 eV per atom
Fermi-level density of states   1.420 states/eV per atom
Mass density   6.832 g cm⁻³

=====

First-principles (GGA-PBE) data for crystalline LaNd4Tl2 at its relaxed geometry, as listed in Alexandria via LeMat-Bulk.

Lattice parameters (Å, degrees): 8.3774 6.7653 9.0481 90.00 116.16 90.00
Sites, in units of the cell vectors:
La  0.1043  0.2500  0.3411
La  0.8957  0.7500  0.6589
Nd  0.1802  0.7500  0.0914
Nd  0.3400  0.0051  0.7751
Nd  0.3400  0.4949  0.7751
Nd  0.4646  0.7500  0.5027
Nd  0.5354  0.2500  0.4973
Nd  0.6600  0.5051  0.2249
Nd  0.6600  0.9949  0.2249
Nd  0.8198  0.2500  0.9086
Tl  0.0506  0.7500  0.3900
Tl  0.2659  0.2500  0.0637
Tl  0.7341  0.7500  0.9363
Tl  0.9494  0.2500  0.6100

Calculated values
Symmetry   P2_1/m
Formation energy   -0.149 eV per atom
Fermi-level density of states   1.387 states/eV per atom
Mass density   8.115 g cm⁻³

=====

First-principles (GGA-PBE) data for crystalline La7Nd3Tl at its relaxed geometry, as listed in Alexandria via LeMat-Bulk.

Lattice parameters (Å, degrees): 7.2312 7.2312 8.8209 90.00 90.00 120.00
Sites, in units of the cell vectors:
La  0.0000  0.0000  0.0000
La  0.1644  0.3288  0.6644
La  0.1644  0.8356  0.6644
La  0.5038  0.0076  0.9890
La  0.5038  0.4962  0.9890
La  0.6712  0.8356  0.6644
La  0.9924  0.4962  0.9890
Nd  0.3318  0.1659  0.3315
Nd  0.8341  0.1659  0.3315
Nd  0.8341  0.6682  0.3315
Tl  0.6667  0.3333  0.6541

Calculated values
Symmetry   P3m1
Formation energy   0.085 eV per atom
Fermi-level density of states   1.561 states/eV per atom
Mass density   6.691 g cm⁻³

=====

First-principles (GGA-PBE) data for crystalline LaNd4Tl3 at its relaxed geometry, as listed in Alexandria via LeMat-Bulk.

Lattice parameters (Å, degrees): 10.0124 10.0124 10.0124 32.14 32.14 32.14
Sites, in units of the cell vectors:
La  0.0000  0.0000  0.0000
Nd  0.1327  0.1327  0.1327
Nd  0.3889  0.3889  0.3889
Nd  0.6111  0.6111  0.6111
Nd  0.8673  0.8673  0.8673
Tl  0.2644  0.2644  0.2644
Tl  0.5000  0.5000  0.5000
Tl  0.7356  0.7356  0.7356

Calculated values
Symmetry   R-3m
Formation energy   -0.253 eV per atom
Fermi-level density of states   1.373 states/eV per atom
Mass density   8.740 g cm⁻³

=====

First-principles (GGA-PBE) data for crystalline La5Nd2Tl4 at its relaxed geometry, as listed in Alexandria via LeMat-Bulk.

Lattice parameters (Å, degrees): 8.9777 3.5683 10.9735 90.00 95.50 90.00
Sites, in units of the cell vectors:
La  0.0000  0.0000  0.0000
La  0.0406  0.0000  0.3362
La  0.3414  0.0000  0.8600
La  0.6586  0.0000  0.1400
La  0.9594  0.0000  0.6638
Nd  0.4202  0.0000  0.3621
Nd  0.5798  0.0000  0.6379
Tl  0.2549  0.5000  0.5784
Tl  0.2991  0.5000  0.1229
Tl  0.7009  0.5000  0.8771
Tl  0.7451  0.5000  0.4216

Calculated values
Symmetry   P2/m
Formation energy   -0.248 eV per atom
Fermi-level density of states   1.275 states/eV per atom
Mass density   8.544 g cm⁻³

=====

First-principles (GGA-PBE) data for crystalline La5NdTl2 at its relaxed geometry, as listed in Alexandria via LeMat-Bulk.

Lattice parameters (Å, degrees): 5.7016 5.7016 20.5993 90.00 90.00 120.00
Sites, in units of the cell vectors:
La  0.0000  0.0000  0.1602
La  0.0000  0.0000  0.3398
La  0.0000  0.0000  0.6602
La  0.0000  0.0000  0.8398
La  0.3333  0.6667  0.0652
La  0.3333  0.6667  0.2500
La  0.3333  0.6667  0.4348
La  0.6667  0.3333  0.5652
La  0.6667  0.3333  0.7500
La  0.6667  0.3333  0.9348
Nd  0.3333  0.6667  0.7500
Nd  0.6667  0.3333  0.2500
Tl  0.3333  0.6667  0.5935
Tl  0.3333  0.6667  0.9065
Tl  0.6667  0.3333  0.0935
Tl  0.6667  0.3333  0.4065

Calculated values
Symmetry   P6_3/mmc
Formation energy   -0.104 eV per atom
Fermi-level density of states   1.743 states/eV per atom
Mass density   7.144 g cm⁻³

=====

First-principles (GGA-PBE) data for crystalline La3Nd2Tl4 at its relaxed geometry, as listed in Alexandria via LeMat-Bulk.

Lattice parameters (Å, degrees): 5.5227 5.5227 10.7309 90.11 90.11 59.92
Sites, in units of the cell vectors:
La  0.0000  0.0000  0.0000
La  0.3327  0.3327  0.4247
La  0.6673  0.6673  0.5753
Nd  0.3338  0.3338  0.7833
Nd  0.6662  0.6662  0.2167
Tl  0.0006  0.0006  0.6552
Tl  0.3330  0.3330  0.1034
Tl  0.6670  0.6670  0.8966
Tl  0.9994  0.9994  0.3448

Calculated values
Symmetry   C2/m
Formation energy   -0.337 eV per atom
Fermi-level density of states   1.252 states/eV per atom
Mass density   8.928 g cm⁻³